[1]
# Ca2LaTc (PBE, optimized geometry)
data_Ca2LaTc
_cell_length_a 6.026
_cell_length_b 6.026
_cell_length_c 3.458
_cell_angle_alpha 90.00
_cell_angle_beta 90.00
_cell_angle_gamma 117.98
_space_group_name_H-M_alt 'P 1'
_space_group_IT_number 1
_space_group_name_Hall 'P 1'
loop_
_atom_site_label
_atom_site_type_symbol
_atom_site_fract_x
_atom_site_fract_y
_atom_site_fract_z
Ca1 Ca 0.000 0.000 0.000
Ca2 Ca 0.500 0.500 0.000
Tc1 Tc 0.000 0.500 0.500
La1 La 0.500 0.000 0.500
# **Total moment**: 0.36 μB/atom
# **DFT formation energy**: 0.6371 eV per atom
# **Energy above the most stable polymorph in this dataset**: 414 meV/atom

=====

[2]
# Ca2LaTc (PBE, optimized geometry)
data_Ca2LaTc
_cell_length_a 3.981
_cell_length_b 3.981
_cell_length_c 7.005
_cell_angle_alpha 90.00
_cell_angle_beta 90.00
_cell_angle_gamma 90.00
_space_group_name_H-M_alt 'P 1'
_space_group_IT_number 1
_space_group_name_Hall 'P 1'
loop_
_atom_site_label
_atom_site_type_symbol
_atom_site_fract_x
_atom_site_fract_y
_atom_site_fract_z
Ca1 Ca 0.000 0.000 0.954
Ca2 Ca 0.000 0.000 0.546
Tc1 Tc 0.500 0.500 0.750
La1 La 0.500 0.500 0.250
# **Total moment**: 0.00 μB/atom
# **DFT formation energy**: 0.5765 eV per atom
# **Energy above the most stable polymorph in this dataset**: 353 meV/atom

=====

[3]
# CaLaYTc2 (PBE, optimized geometry)
data_CaLaYTc2
_cell_length_a 4.949
_cell_length_b 5.134
_cell_length_c 4.949
_cell_angle_alpha 90.00
_cell_angle_beta 90.00
_cell_angle_gamma 90.00
_space_group_name_H-M_alt 'P 1'
_space_group_IT_number 1
_space_group_name_Hall 'P 1'
loop_
_atom_site_label
_atom_site_type_symbol
_atom_site_fract_x
_atom_site_fract_y
_atom_site_fract_z
Y1 Y 0.500 0.500 0.500
Ca1 Ca 0.000 0.000 0.000
Tc1 Tc 0.000 0.000 0.500
Tc2 Tc 0.500 0.000 0.000
La1 La 0.000 0.500 0.000
# **Total moment**: 0.32 μB/atom
# **DFT formation energy**: 1.5466 eV per atom
# **Energy above the most stable polymorph in this dataset**: 52 meV/atom

=====

[4]
# CaLaYTc2 (PBE, optimized geometry)
data_CaLaYTc2
_cell_length_a 4.967
_cell_length_b 5.184
_cell_length_c 4.967
_cell_angle_alpha 90.00
_cell_angle_beta 90.00
_cell_angle_gamma 90.00
_space_group_name_H-M_alt 'P 1'
_space_group_IT_number 1
_space_group_name_Hall 'P 1'
loop_
_atom_site_label
_atom_site_type_symbol
_atom_site_fract_x
_atom_site_fract_y
_atom_site_fract_z
Y1 Y 0.000 0.500 0.000
Ca1 Ca 0.000 0.000 0.000
Tc1 Tc 0.000 0.000 0.500
Tc2 Tc 0.500 0.000 0.000
La1 La 0.500 0.500 0.500
# **Total moment**: 0.33 μB/atom
# **DFT formation energy**: 1.4949 eV per atom
# **Energy above the most stable polymorph in this dataset**: 0 meV/atom

=====

no.,calculated volume (Å³ per atom)
1,27.72
2,27.75
3,25.15
4,25.58